No. 1
The following is a DFT calculation (PBE) of La3SmSn after structural relaxation.

Cell lengths 5.783, 6.871, 8.697 Å; angles 90.00, 109.45, 90.00 degrees
Positions (direct):
La 0.086 0.250 0.172
La 0.304 0.003 0.608
La 0.304 0.497 0.608
La 0.696 0.503 0.392
La 0.696 0.997 0.392
La 0.914 0.750 0.828
Sm 0.483 0.250 0.966
Sm 0.517 0.750 0.034
Sn 0.124 0.750 0.247
Sn 0.876 0.250 0.753

Output
Formation energy (eV/f.u.): -1.5
Spin magnetization (μB per formula unit): 0.0

---

No. 2
The following is a DFT calculation (PBE) of Cr4Os after structural relaxation.

Cell lengths 5.437, 5.437, 5.437 Å; angles 140.20, 140.20, 57.55 degrees
Positions (direct):
Cr 0.110 0.110 0.000
Cr 0.250 0.750 0.500
Cr 0.750 0.250 0.500
Cr 0.890 0.890 0.000
Os 0.500 0.500 0.000

Output
Energy above the lowest structure with this stoichiometry (meV per atom): 735
Formation energy (eV/f.u.): 3.8
Spin magnetization (μB per formula unit): 0.0